# Ca2HgMo, optimized geometry, DFT PBEsol
data_Ca2HgMo
_chemical_formula_sum 'Ca2 Hg1 Mo1'
_cell_length_a 3.104
_cell_length_b 3.104
_cell_length_c 9.878
_cell_angle_alpha 90.00
_cell_angle_beta 90.00
_cell_angle_gamma 90.00
_symmetry_space_group_name_H-M 'P 4 m m'
_symmetry_Int_Tables_number 99
loop_
_symmetry_equiv_pos_as_xyz
'x,y,z'
'-y,x,z'
'-x,-y,z'
'y,-x,z'
'-x,y,z'
'y,x,z'
'x,-y,z'
'-y,-x,z'
loop_
_atom_site_label
_atom_site_type_symbol
_atom_site_fract_x
_atom_site_fract_y
_atom_site_fract_z
Ca1 Ca 0.000 0.000 0.000
Ca2 Ca 0.500 0.500 0.342
Hg1 Hg 0.000 0.000 0.570
Mo1 Mo 0.500 0.500 0.769
# Electronic total energy (eV for the cell shown): -14.9
# Magnetic moment (Bohr magnetons per cell): 0.0
# Fermi-level density of states (states/eV per atom): 0.900
# Energy relative to the elements (eV per atom): 0.431